A relaxed structure of Ba2AuN. Source: Alexandria via LeMat-Bulk, functional PBE.

Results
The calculation puts the energy at -0.31465 Ry/atom. The calculation puts the raw formation energy at -419.0 meV per atom. The density of states at the Fermi level comes out at 0.00 states/eV/atom.

Lattice parameters (Å, degrees): 7.739 7.739 8.977 90.00 90.00 90.00
Space group I-42d (No. 122)
Inequivalent atoms, fractional coordinates:
Ba 0.170 0.750 0.125
Au 0.000 0.000 0.500
N 0.000 0.000 0.000

---

A relaxed structure of Ba6AuN2. Source: Alexandria via LeMat-Bulk, functional PBE.

Results
The calculation puts the energy at -0.28555 Ry/atom. The calculation puts the energy above the most stable polymorph in this dataset at 0 meV per atom. The calculation puts the raw formation energy at -389.0 meV per atom. The density of states at the Fermi level comes out at 0.56 states/eV/atom.

Lattice parameters (Å, degrees): 15.299 5.113 10.453 90.00 108.32 90.00
Space group C2/m (No. 12)
Inequivalent atoms, fractional coordinates:
Ba 0.078 0.000 0.230
Ba 0.146 0.500 0.630
Ba 0.183 0.500 0.043
Au 0.000 0.000 0.500
N 0.222 0.000 0.148

---

A relaxed structure of Ba6AuN. Source: Alexandria via LeMat-Bulk, functional PBE.

Results
The calculation puts the energy at -0.23173 Ry/atom. The calculation puts the raw formation energy at -260.5 meV per atom. The density of states at the Fermi level comes out at 1.09 states/eV/atom.

Lattice parameters (Å, degrees): 7.835 13.548 7.810 90.00 90.13 90.00
Space group C2/m (No. 12)
Inequivalent atoms, fractional coordinates:
Ba 0.147 0.147 0.214
Ba 0.207 0.500 0.213
Au 0.000 0.000 0.500
N 0.000 0.000 0.000

---

A relaxed structure of BaAuN3. Source: Alexandria via LeMat-Bulk, functional PBE.

Results
The calculation puts the energy at -0.23887 Ry/atom. The calculation puts the raw formation energy at 2785.2 meV per atom. The density of states at the Fermi level comes out at 1.58 states/eV/atom.

Lattice parameters (Å, degrees): 4.536 4.536 4.536 90.00 90.00 90.00
Space group Pm-3m (No. 221)
Inequivalent atoms, fractional coordinates:
Ba 0.000 0.000 0.000
Au 0.500 0.500 0.500
N 0.000 0.000 0.500

---

A relaxed structure of BaAuN2. Source: Alexandria via LeMat-Bulk, functional PBE.

Results
The calculation puts the energy at -0.31623 Ry/atom. The calculation puts the energy above the most stable polymorph in this dataset at 1520 meV per atom. The calculation puts the raw formation energy at 1160.1 meV per atom. The density of states at the Fermi level comes out at 0.29 states/eV/atom.

Lattice parameters (Å, degrees): 6.558 6.558 6.558 90.00 90.00 90.00
Space group Fm-3m (No. 225)
Inequivalent atoms, fractional coordinates:
Ba 0.000 0.000 0.000
Au 0.000 0.000 0.500
N 0.250 0.250 0.250

---

A relaxed structure of Ba2AuN. Source: Alexandria via LeMat-Bulk, functional PBE.

Results
The calculation puts the energy at -0.30735 Ry/atom. The calculation puts the raw formation energy at -319.7 meV per atom. The density of states at the Fermi level comes out at 0.40 states/eV/atom.

Lattice parameters (Å, degrees): 3.563 3.563 8.036 90.00 90.00 90.00
Space group P4/mmm (No. 123)
Inequivalent atoms, fractional coordinates:
Ba 0.000 0.000 0.195
Au 0.500 0.500 0.500
N 0.500 0.500 0.000

---

A relaxed structure of Ba3AuN. Source: Alexandria via LeMat-Bulk, functional PBE.

Results
The calculation puts the energy at -0.28855 Ry/atom. The calculation puts the raw formation energy at -451.7 meV per atom. The density of states at the Fermi level comes out at 0.52 states/eV/atom.

Lattice parameters (Å, degrees): 4.634 9.152 9.165 73.77 89.68 89.67
Space group P-1 (No. 2)
Inequivalent atoms, fractional coordinates:
Ba 0.230 0.076 0.189
Ba 0.230 0.689 0.576
Ba 0.237 0.603 0.104
Au 0.245 0.224 0.724
N 0.002 0.667 0.834

---

A relaxed structure of Ba14Au6N3. Source: Alexandria via LeMat-Bulk, functional PBE.

Results
The calculation puts the energy at -0.26703 Ry/atom. The calculation puts the raw formation energy at -521.9 meV per atom. The density of states at the Fermi level comes out at 0.59 states/eV/atom.

Lattice parameters (Å, degrees): 11.7558 11.7558 7.4319 90.00 90.00 120.00
Space group P3 (No. 143)
Inequivalent atoms, fractional coordinates:
Ba 0.0000 0.0000 0.0000
Ba 0.0984 0.2284 0.4795
Ba 0.2082 0.7682 0.9880
Ba 0.3333 0.6667 0.5060
Ba 0.4464 0.2332 0.1608
Ba 0.5443 0.1114 0.7105
Au 0.0422 0.4989 0.2832
Au 0.2839 0.1680 0.7717
N 0.0000 0.0000 0.3442
N 0.3333 0.6667 0.8504
N 0.6667 0.3333 0.9402

---

A relaxed structure of BaAuN2. Source: Alexandria via LeMat-Bulk, functional PBE.

Results
The calculation puts the energy at -0.31175 Ry/atom. The calculation puts the energy above the most stable polymorph in this dataset at 1581 meV per atom. The calculation puts the raw formation energy at 1221.2 meV per atom. The density of states at the Fermi level comes out at 0.71 states/eV/atom.

Lattice parameters (Å, degrees): 3.4873 3.4873 21.0068 90.00 90.00 120.00
Space group R-3m (No. 166, hexagonal axes)
Inequivalent atoms, fractional coordinates:
Ba 0.0000 0.0000 0.0000
Au 0.0000 0.0000 0.5000
N 0.0000 0.0000 0.1247

---

A relaxed structure of BaAuN3. Source: Alexandria via LeMat-Bulk, functional PBE.

Results
The calculation puts the energy at -0.34337 Ry/atom. The calculation puts the raw formation energy at 1363.4 meV per atom. The density of states at the Fermi level comes out at 1.30 states/eV/atom.

Lattice parameters (Å, degrees): 4.223 4.223 4.223 90.00 90.00 90.00
Space group Pm-3m (No. 221)
Inequivalent atoms, fractional coordinates:
Ba 0.000 0.000 0.000
Au 0.500 0.500 0.500
N 0.000 0.500 0.500

---

A relaxed structure of Ba6Au2N. Source: Alexandria via LeMat-Bulk, functional PBE.

Results
The calculation puts the energy at -0.24103 Ry/atom. The calculation puts the energy above the most stable polymorph in this dataset at 118 meV per atom. The calculation puts the raw formation energy at -344.2 meV per atom. The density of states at the Fermi level comes out at 1.00 states/eV/atom.

Lattice parameters (Å, degrees): 15.615 4.584 12.909 90.00 114.48 90.00
Space group C2/m (No. 12)
Inequivalent atoms, fractional coordinates:
Ba 0.003 0.000 0.296
Ba 0.158 0.500 0.053
Ba 0.177 0.000 0.601
Au 0.179 0.500 0.806
N 0.000 0.000 0.500

---

A relaxed structure of Ba2AuN. Source: Alexandria via LeMat-Bulk, functional PBE.

Results
The calculation puts the energy at -0.32227 Ry/atom. The calculation puts the raw formation energy at -522.6 meV per atom.

Lattice parameters (Å, degrees): 4.1249 4.1249 23.9865 90.00 90.00 120.00
Space group R-3m (No. 166, hexagonal axes)
Inequivalent atoms, fractional coordinates:
Ba 0.0000 0.0000 0.2294
Au 0.0000 0.0000 0.0000
N 0.0000 0.0000 0.5000

---

Respective volume values: 33.61; 43.13; 51.81; 18.67; 17.63; 25.50; 37.32; 38.67; 18.44; 15.06; 46.72; 29.45 Å³ per atom.